[1]
Mn2W (PBE, relaxed); energy relative to the lowest polymorph listed for this composition = 502 meV/atom; crystal system = orthorhombic
1.0
-1.3878 2.0559 6.9375
1.3878 -2.0559 6.9375
1.3878 2.0559 -6.9375
Mn W
4 2
Direct
0.2814 0.0314 0.2500 Mn
0.4381 0.1881 0.2500 Mn
0.5619 0.8119 0.7500 Mn
0.7186 0.9686 0.7500 Mn
0.1033 0.3533 0.7500 W
0.8967 0.6467 0.2500 W


[2]
NdErCdGa (PBE, relaxed); energy relative to the lowest polymorph listed for this composition = 24 meV/atom; crystal system = cubic
1.0
0.0000 3.7082 3.7082
3.7082 0.0000 3.7082
3.7082 3.7082 0.0000
Nd Er Cd Ga
1 1 1 1
Direct
0.0000 0.0000 0.0000 Nd
0.5000 0.5000 0.5000 Er
0.7500 0.7500 0.7500 Cd
0.2500 0.2500 0.2500 Ga


[3]
KY2BeBr (PBE, relaxed); formation energy from raw total energies = 329 meV per atom; crystal system = tetragonal
1.0
5.1743 0.0000 0.0000
0.0000 5.1743 0.0000
0.0000 0.0000 7.3962
K Y Be Br
1 2 1 1
Direct
0.0000 0.0000 0.0000 K
0.0000 0.5000 0.5000 Y
0.5000 0.0000 0.5000 Y
0.5000 0.5000 0.5000 Be
0.5000 0.5000 0.0000 Br


[4]
K3Sr3IrO8 (PBE, relaxed); formation energy from raw total energies = -1766 meV per atom; crystal system = trigonal
1.0
3.6007 2.0789 6.2757
-3.6007 2.0789 6.2757
0.0000 -4.1578 6.2757
K Sr Ir O
3 3 1 8
Direct
0.0000 0.5000 0.5000 K
0.5000 0.0000 0.5000 K
0.5000 0.5000 0.0000 K
0.0000 0.0000 0.5000 Sr
0.0000 0.5000 0.0000 Sr
0.5000 0.0000 0.0000 Sr
0.5000 0.5000 0.5000 Ir
0.2341 0.2341 0.2341 O
0.2978 0.6887 0.6887 O
0.3113 0.3113 0.7022 O
0.3113 0.7022 0.3113 O
0.6887 0.2978 0.6887 O
0.6887 0.6887 0.2978 O
0.7022 0.3113 0.3113 O
0.7659 0.7659 0.7659 O


[5]
Li8PmCu4 (PBE, relaxed); uncorrected energy = -2.808 eV/atom; crystal system = tetragonal
1.0
-4.5559 4.5559 2.5463
4.5559 -4.5559 2.5463
4.5559 4.5559 -2.5463
Li Pm Cu
8 1 4
Direct
0.0000 0.2265 0.2265 Li
0.0000 0.7735 0.7735 Li
0.1513 0.5000 0.6513 Li
0.2265 0.0000 0.2265 Li
0.5000 0.1513 0.6513 Li
0.5000 0.8487 0.3487 Li
0.7735 0.0000 0.7735 Li
0.8487 0.5000 0.3487 Li
0.5000 0.5000 0.0000 Pm
0.0000 0.0000 0.5000 Cu
0.0000 0.5000 0.0000 Cu
0.5000 0.0000 0.0000 Cu
0.5000 0.5000 0.5000 Cu


[6]
Mg2InHgC (PBE, relaxed); uncorrected energy = -1.563 eV/atom; crystal system = tetragonal
1.0
5.4477 0.0000 0.0000
0.0000 5.4477 0.0000
0.0000 0.0000 5.5392
Mg In Hg C
2 1 1 1
Direct
0.0000 0.5000 0.0000 Mg
0.5000 0.0000 0.0000 Mg
0.0000 0.0000 0.0000 In
0.0000 0.0000 0.5000 Hg
0.5000 0.5000 0.5000 C


[7]
Cs2UI4O2 (PBE, relaxed); formation energy from raw total energies = -1820 meV per atom; crystal system = monoclinic
1.0
6.7084 -4.3426 0.0000
6.7084 4.3426 0.0000
-1.4083 0.0000 6.8844
Cs U I O
2 1 4 2
Direct
0.1585 0.1585 0.3135 Cs
0.8415 0.8415 0.6865 Cs
0.5000 0.5000 0.5000 U
0.1445 0.6490 0.2234 I
0.3510 0.8555 0.7766 I
0.6490 0.1445 0.2234 I
0.8555 0.3510 0.7766 I
0.3872 0.3872 0.6041 O
0.6128 0.6128 0.3959 O


[8]
LiFe2Si (PBE, relaxed); formation energy from raw total energies = -80 meV per atom; crystal system = orthorhombic
1.0
2.6177 -3.0918 0.0000
2.6177 3.0918 0.0000
0.0000 0.0000 2.7108
Li Fe Si
1 2 1
Direct
0.0000 0.0000 0.0000 Li
0.0000 0.5000 0.5000 Fe
0.5000 0.0000 0.5000 Fe
0.5000 0.5000 0.0000 Si


[9]
FeCuOs2 (PBE, relaxed); energy relative to the lowest polymorph listed for this composition = 32 meV/atom; crystal system = tetragonal
1.0
2.7121 0.0000 0.0000
0.0000 2.7121 0.0000
0.0000 0.0000 7.2759
Fe Cu Os
1 1 2
Direct
0.0000 0.0000 0.0000 Fe
0.5000 0.5000 0.7676 Cu
0.0000 0.0000 0.5089 Os
0.5000 0.5000 0.2601 Os


[10]
PrY2Th3As6 (PBE, relaxed); uncorrected energy = -7.128 eV/atom; crystal system = monoclinic
1.0
3.6681 -6.3433 0.0000
3.6681 6.3433 0.0000
-2.4453 0.0000 6.8578
Pr Y Th As
1 2 3 6
Direct
0.0000 0.0000 0.0000 Pr
0.3328 0.6672 0.0000 Y
0.6672 0.3328 0.0000 Y
0.1651 0.8349 0.5000 Th
0.5000 0.5000 0.5000 Th
0.8349 0.1651 0.5000 Th
0.0827 0.4221 0.2478 As
0.2578 0.2578 0.7540 As
0.4221 0.0827 0.2478 As
0.5779 0.9173 0.7522 As
0.7422 0.7422 0.2460 As
0.9173 0.5779 0.7522 As


[11]
CrCd2TeH (PBE, relaxed); uncorrected energy = -2.636 eV/atom; crystal system = tetragonal
1.0
5.9060 0.0000 0.0000
0.0000 5.9060 0.0000
0.0000 0.0000 5.2086
Cr Cd Te H
1 2 1 1
Direct
0.0000 0.0000 0.0000 Cr
0.0000 0.5000 0.5000 Cd
0.5000 0.0000 0.5000 Cd
0.0000 0.0000 0.5000 Te
0.5000 0.5000 0.0000 H


[12]
ZrSc2Fe (PBE, relaxed); energy relative to the lowest polymorph listed for this composition = 251 meV/atom; crystal system = cubic
1.0
0.0000 3.3540 3.3540
3.3540 0.0000 3.3540
3.3540 3.3540 0.0000
Zr Sc Fe
1 2 1
Direct
0.0000 0.0000 0.0000 Zr
0.5000 0.5000 0.5000 Sc
0.7500 0.7500 0.7500 Sc
0.2500 0.2500 0.2500 Fe


no.,total magnetic moment (μB per atom)
1,0.000
2,0.000
3,0.401
4,0.130
5,0.000
6,0.555
7,0.000
8,0.842
9,0.664
10,0.000
11,0.982
12,0.069